First-principles (PBE-GGA) data for LaPrDyEr3 after structural relaxation, as listed in the Alexandria database.

## Properties
- space-group type = No. 63
- DFT formation energy (eV per atom) = 0.107

Structure (POSCAR):
```
LaPrDyEr3
1.0
-3.810 1.537 -4.203
5.452 -2.859 -1.879
-5.210 -10.513 0.878
La Pr Dy Er
2 2 2 6
direct
0.503 0.006 0.750
0.497 0.994 0.250
0.000 0.000 0.500
0.000 0.000 0.000
0.825 0.650 0.750
0.175 0.350 0.250
0.675 0.350 0.498
0.325 0.650 0.502
0.325 0.650 0.998
0.675 0.350 0.002
0.173 0.345 0.750
0.827 0.655 0.250
```